1.
This record from Alexandria via LeMat-Bulk describes UCd2HgO6 after structural relaxation. The functional is PBE.

Lattice parameters (Å, degrees): 6.4435 6.4435 4.2439 90.00 90.00 90.00
Atoms (fractional coordinates):
U 0.0000 0.0000 0.0000
Cd 0.0000 0.5000 0.1574
Cd 0.5000 0.0000 0.1574
Hg 0.5000 0.5000 0.8734
O 0.0000 0.0000 0.5044
O 0.2272 0.2272 0.0197
O 0.2272 0.7728 0.0197
O 0.5000 0.5000 0.3859
O 0.7728 0.2272 0.0197
O 0.7728 0.7728 0.0197

Values from the calculation:
Formation energy from raw total energies: -1.380 eV per atom
Calculated volume: 17.62 Å³/atom
SG: P4mm (99)

---

2.
This record from Alexandria via LeMat-Bulk describes Ba3NaCd4 after structural relaxation. The functional is PBE.

Lattice parameters (Å, degrees): 4.2055 4.2055 16.1844 90.00 90.00 90.00
Atoms (fractional coordinates):
Ba 0.0000 0.0000 0.0000
Ba 0.0000 0.0000 0.2662
Ba 0.0000 0.0000 0.7338
Na 0.0000 0.0000 0.5000
Cd 0.5000 0.5000 0.1326
Cd 0.5000 0.5000 0.4055
Cd 0.5000 0.5000 0.5945
Cd 0.5000 0.5000 0.8674

Values from the calculation:
Formation enthalpy at 0 K: -5.73 kcal/mol of atoms
Calculated volume: 35.78 Å³/atom
SG: P4/mmm (123)

---

It is found that the E values, taken in the order of the records, are -5.6974; -1.5917 eV per atom.